The following is a DFT calculation (GGA-PBE) of a relaxed NaDy5In6 crystal.

The space group is Cmmm (No. 65) and the conventional cell measures 5.2944, 15.9619 and 7.5051 Å, with angles of 90.00, 90.00 and 90.00 degrees. The asymmetric unit holds Na at (0.0000, 0.0000, 0.0000), Dy at (0.0000, 0.0000, 0.5000), Dy at (0.0000, 0.3355, 0.0000), Dy at (0.0000, 0.3359, 0.5000), In at (0.0000, 0.1658, 0.2486) and In at (0.0000, 0.5000, 0.2433).

Its calculated formation energy is -0.4045 eV/atom. For the uncorrected energy, the calculation gives -3.80 eV/atom. The calculation puts the density of states at the Fermi level at 0.67 states/eV/atom. The total magnetic moment is 0.0 μB per formula unit.

=====

The following is a DFT calculation (GGA-PBE) of a relaxed NaDy4In5 crystal.

The space group is P4/mmm (No. 123) and the conventional cell measures 3.7385, 3.7385 and 19.0670 Å, with angles of 90.00, 90.00 and 90.00 degrees. The asymmetric unit holds Na at (0.0000, 0.0000, 0.0000), Dy at (0.0000, 0.0000, 0.1983), Dy at (0.0000, 0.0000, 0.4002), In at (0.5000, 0.5000, 0.1020), In at (0.5000, 0.5000, 0.3006) and In at (0.5000, 0.5000, 0.5000).

Its calculated formation energy is -0.3829 eV/atom. For the uncorrected energy, the calculation gives -3.72 eV/atom. The calculation puts the density of states at the Fermi level at 0.51 states/eV/atom. The total magnetic moment is 0.0 μB per formula unit.

=====

The following is a DFT calculation (GGA-PBE) of a relaxed NaDy2In crystal.

The space group is P4/mmm (No. 123) and the conventional cell measures 5.1099, 5.1099 and 4.2786 Å, with angles of 90.00, 90.00 and 90.00 degrees. The asymmetric unit holds Na at (0.0000, 0.0000, 0.0000), Dy at (0.0000, 0.5000, 0.5000) and In at (0.5000, 0.5000, 0.0000).

Its calculated formation energy is -0.0882 eV/atom. For the uncorrected energy, the calculation gives -3.40 eV/atom. The calculation puts the density of states at the Fermi level at 0.65 states/eV/atom. The total magnetic moment is 0.0 μB per formula unit.

=====

The following is a DFT calculation (GGA-PBE) of a relaxed NaDy5In3 crystal.

The space group is P6_3/mcm (No. 193) and the conventional cell measures 9.3424, 9.3424 and 6.6761 Å, with angles of 90.00, 90.00 and 120.00 degrees. The asymmetric unit holds Na at (0.0000, 0.0000, 0.0000), Dy at (0.0000, 0.3186, 0.2500), Dy at (0.3333, 0.6667, 0.0000) and In at (0.0000, 0.3484, 0.7500).

Its calculated formation energy is -0.3133 eV/atom. For the uncorrected energy, the calculation gives -3.93 eV/atom. The calculation puts the density of states at the Fermi level at 0.74 states/eV/atom. The total magnetic moment is 0.0 μB per formula unit.

=====

The following is a DFT calculation (GGA-PBE) of a relaxed Na2DyInO4 crystal.

The space group is P2/m (No. 10) and the conventional cell measures 5.7710, 3.3637 and 5.9303 Å, with angles of 90.00, 109.26 and 90.00 degrees. The asymmetric unit holds Na at (0.0000, 0.0000, 0.0000), Na at (0.5000, 0.5000, 0.0000), Dy at (0.0000, 0.5000, 0.5000), In at (0.5000, 0.0000, 0.5000), O at (0.2390, 0.0000, 0.7155) and O at (0.2688, 0.5000, 0.2857).

For the uncorrected energy, the calculation gives -5.92 eV/atom. The calculation puts the density of states at the Fermi level at 0.00 states/eV/atom. The total magnetic moment is 0.0 μB per formula unit. The value obtained for the uncorrected formation energy is -2194 meV/atom.

=====

The following is a DFT calculation (GGA-PBE) of a relaxed NaDyIn4O8 crystal.

The space group is R3m (No. 160, hexagonal axes) and the conventional cell measures 6.5971, 6.5971 and 15.9336 Å, with angles of 90.00, 90.00 and 120.00 degrees. The asymmetric unit holds Na at (0.0000, 0.0000, 0.0000), Dy at (0.0000, 0.0000, 0.3805), In at (0.0000, 0.0000, 0.6159), In at (0.1677, 0.3355, 0.8323), O at (0.0000, 0.0000, 0.2419), O at (0.0000, 0.0000, 0.7527), O at (0.0182, 0.5091, 0.7602) and O at (0.1745, 0.3491, 0.5734).

For the uncorrected energy, the calculation gives -5.92 eV/atom. The total magnetic moment is 0.0 μB per formula unit. The value obtained for the uncorrected formation energy is -1881 meV/atom.

=====

The following is a DFT calculation (GGA-PBE) of a relaxed Na3DyIn2O6 crystal.

The space group is C2/m (No. 12) and the conventional cell measures 5.7503, 9.9694 and 5.9116 Å, with angles of 90.00, 108.80 and 90.00 degrees. The asymmetric unit holds Na at (0.0000, 0.0000, 0.0000), Na at (0.0000, 0.3278, 0.0000), Dy at (0.0000, 0.5000, 0.5000), In at (0.0000, 0.1665, 0.5000), O at (0.2311, 0.0000, 0.7160) and O at (0.2415, 0.3298, 0.7144).

For the uncorrected energy, the calculation gives -5.65 eV/atom. The calculation puts the density of states at the Fermi level at 0.00 states/eV/atom. The total magnetic moment is 0.0 μB per formula unit. The value obtained for the uncorrected formation energy is -2006 meV/atom.

=====

The following is a DFT calculation (GGA-PBE) of a relaxed Na2DyInPb2 crystal.

The space group is Pmc2_1 (No. 26) and the conventional cell measures 4.7327, 9.6443 and 7.5872 Å, with angles of 90.00, 90.00 and 90.00 degrees. The asymmetric unit holds Na at (0.0000, 0.0535, 0.0000), Na at (0.5000, 0.1710, 0.2930), Dy at (0.5000, 0.4568, 0.9144), In at (0.0000, 0.3233, 0.5932), Pb at (0.0000, 0.3708, 0.1870) and Pb at (0.5000, 0.1609, 0.7274).

Its calculated formation energy is -0.2603 eV/atom. For the uncorrected energy, the calculation gives -3.16 eV/atom. The calculation puts the density of states at the Fermi level at 0.20 states/eV/atom. The total magnetic moment is 0.0 μB per formula unit.